*a*
Compound: Nd2Ho3Al3
Source: Alexandria
Functional: PBE
Structure: relaxed

Values from the calculation:
- total magnetization (μB/cell) = 0.000
- N(E_F) (states/eV/cell) = 8.15

a b c (Å): 4.825 4.842 8.932
angles (deg): 90.00 90.00 90.00
Space group Pmmm (No. 47)
One atom of each set of equivalent atoms:
Nd (0.000, 0.000, 0.236) (multiplicity 2)
Ho (0.500, 0.000, 0.500) (multiplicity 1)
Ho (0.500, 0.500, 0.221) (multiplicity 2)
Al (0.000, 0.500, 0.000) (multiplicity 1)
Al (0.000, 0.500, 0.500) (multiplicity 1)
Al (0.500, 0.000, 0.000) (multiplicity 1)

---

*b*
Compound: Nd2Ho3Al3
Source: Alexandria
Functional: PBE
Structure: relaxed

Values from the calculation:
- total magnetization (μB/cell) = 0.000
- N(E_F) (states/eV/cell) = 9.90

a b c (Å): 3.712 5.132 21.953
angles (deg): 90.00 90.00 90.00
Space group Immm (No. 71)
One atom of each set of equivalent atoms:
Nd (0.000, 0.000, 0.228) (multiplicity 4)
Ho (0.000, 0.000, 0.000) (multiplicity 2)
Ho (0.000, 0.500, 0.116) (multiplicity 4)
Al (0.000, 0.000, 0.500) (multiplicity 2)
Al (0.000, 0.500, 0.388) (multiplicity 4)

---

Stability ranking, top and bottom: *b* is the most stable and *a* is the least stable.

---

*a*
Compound: NdHo2Al2
Source: Alexandria
Functional: PBE
Structure: relaxed

Values from the calculation:
- total magnetization (μB/cell) = 0.000
- N(E_F) (states/eV/cell) = 7.07

a b c (Å): 3.657 5.224 13.646
angles (deg): 90.00 97.70 90.00
Space group P2_1/m (No. 11)
One atom of each set of equivalent atoms:
Nd (0.143, 0.250, 0.289) (multiplicity 2)
Ho (0.047, 0.750, 0.094) (multiplicity 2)
Ho (0.232, 0.750, 0.465) (multiplicity 2)
Al (0.360, 0.250, 0.719) (multiplicity 2)
Al (0.453, 0.750, 0.906) (multiplicity 2)

---

*b*
Compound: NdHo2Al2
Source: Alexandria
Functional: PBE
Structure: relaxed

Values from the calculation:
- total magnetization (μB/cell) = 0.000
- N(E_F) (states/eV/cell) = 9.87

a b c (Å): 9.789 4.592 6.159
angles (deg): 90.00 93.93 90.00
Space group C2/m (No. 12)
One atom of each set of equivalent atoms:
Nd (0.000, 0.000, 0.000) (multiplicity 2)
Ho (0.146, 0.500, 0.359) (multiplicity 4)
Al (0.190, 0.500, 0.854) (multiplicity 4)

---

Stability ranking, top and bottom: *a* is the most stable and *b* is the least stable.

---

*a*
Compound: Nd3HoAl
Source: Alexandria
Functional: PBE
Structure: relaxed

Values from the calculation:
- total magnetization (μB/cell) = 0.000
- N(E_F) (states/eV/cell) = 25.17

a b c (Å): 13.317 3.678 12.590
angles (deg): 90.00 95.87 90.00
Space group C2/m (No. 12)
One atom of each set of equivalent atoms:
Nd (0.037, 0.000, 0.195) (multiplicity 4)
Nd (0.138, 0.500, 0.980) (multiplicity 4)
Nd (0.143, 0.000, 0.446) (multiplicity 4)
Ho (0.217, 0.000, 0.746) (multiplicity 4)
Al (0.052, 0.500, 0.620) (multiplicity 4)

---

*b*
Compound: Nd3HoAl
Source: Alexandria
Functional: PBE
Structure: relaxed

Values from the calculation:
- total magnetization (μB/cell) = 0.000
- N(E_F) (states/eV/cell) = 11.15

a b c (Å): 5.233 9.561 6.589
angles (deg): 90.00 90.00 90.00
Space group Amm2 (No. 38)
One atom of each set of equivalent atoms:
Nd (0.000, 0.000, 0.000) (multiplicity 2)
Nd (0.500, 0.185, 0.720) (multiplicity 4)
Ho (0.000, 0.000, 0.471) (multiplicity 2)
Al (0.500, 0.000, 0.252) (multiplicity 2)

---

Stability ranking, top and bottom: *a* is the most stable and *b* is the least stable.

---

*a*
Compound: Nd3HoAl8
Source: Alexandria
Functional: PBE
Structure: relaxed

Values from the calculation:
- total magnetization (μB/cell) = 0.000
- N(E_F) (states/eV/cell) = 30.34

a b c (Å): 5.6453 5.6453 27.7594
angles (deg): 90.00 90.00 120.00
Space group R3m (No. 160, hexagonal axes)
One atom of each set of equivalent atoms:
Nd (0.0000, 0.0000, 0.0000) (multiplicity 3)
Nd (0.0000, 0.0000, 0.1252) (multiplicity 3)
Nd (0.0000, 0.0000, 0.5003) (multiplicity 3)
Ho (0.0000, 0.0000, 0.6246) (multiplicity 3)
Al (0.0000, 0.0000, 0.3122) (multiplicity 3)
Al (0.0000, 0.0000, 0.8128) (multiplicity 3)
Al (0.0004, 0.5002, 0.5634) (multiplicity 9)
Al (0.1671, 0.3342, 0.3949) (multiplicity 9)

---

*b*
Compound: Nd3HoAl8
Source: Alexandria
Functional: PBE
Structure: relaxed

Values from the calculation:
- total magnetization (μB/cell) = 0.000
- N(E_F) (states/eV/cell) = 6.12

a b c (Å): 5.6414 5.6414 9.2939
angles (deg): 90.00 90.00 120.00
Space group P3m1 (No. 156)
One atom of each set of equivalent atoms:
Nd (0.0000, 0.0000, 0.0000) (multiplicity 1)
Nd (0.0000, 0.0000, 0.3638) (multiplicity 1)
Nd (0.3333, 0.6667, 0.8628) (multiplicity 1)
Ho (0.3333, 0.6667, 0.4990) (multiplicity 1)
Al (0.0091, 0.5045, 0.1833) (multiplicity 3)
Al (0.3248, 0.1624, 0.6776) (multiplicity 3)
Al (0.6667, 0.3333, 0.4322) (multiplicity 1)
Al (0.6667, 0.3333, 0.9290) (multiplicity 1)

---

Stability ranking, top and bottom: *a* is the most stable and *b* is the least stable.